Entry 1:
Be3CuIr2 PBE relaxed; V = 64.1 Å³ per cell; total energy = -36.1 eV for the cell shown; magnetic moment = 0.000 μB per atom; SG = No. 65
1.0
-2.2397 1.3308 -1.1884
-2.2891 -2.8837 1.0849
0.0915 4.1767 4.5050
Be Cu Ir
3 1 2
Direct
0.5000 0.5000 0.0000
0.5000 0.8226 0.6452
0.5000 0.1774 0.3548
0.0000 0.0000 0.0000
0.0000 0.3432 0.6863
0.0000 0.6568 0.3137

=====

Entry 2:
Be2CuIr PBE relaxed; V = 46.5 Å³ per cell; total energy = -20.0 eV for the cell shown; magnetic moment = 0.000 μB per atom; SG = No. 35; offset from the most stable computed form = 210 kJ/mol of formula units
1.0
-1.8255 -1.8130 0.2626
0.6035 0.6605 -2.4265
5.4395 -5.4979 -0.1438
Be Ir Cu
2 1 1
Direct
0.0000 0.0000 0.0091
0.5000 0.5000 0.2429
0.5000 0.5000 0.7730
0.0000 0.0000 0.4750

=====

Entry 3:
BeCuIr2 PBE relaxed; V = 49.0 Å³ per cell; total energy = -25.9 eV for the cell shown; magnetic moment = 0.000 μB per atom; SG = No. 123
1.0
-3.1865 -0.2230 -2.5705
-0.2744 -4.0326 0.6887
-1.8221 0.5023 2.2152
Be Ir Cu
1 2 1
Direct
0.5000 0.0000 0.5000
0.0000 0.0000 0.0000
0.5000 0.5000 0.0000
0.0000 0.5000 0.5000

=====

Entry 4:
BeCuIr2 PBE relaxed; V = 49.9 Å³ per cell; total energy = -25.6 eV for the cell shown; magnetic moment = 0.001 μB per atom; SG = No. 6
1.0
-2.5412 2.0886 2.0159
1.1287 -0.8456 2.2989
3.5650 3.3154 1.0592
Be Ir Cu
1 2 1
Direct
0.0000 0.6921 0.4865
0.0000 0.9463 0.9843
0.5000 0.2957 0.2832
0.5000 0.5658 0.7460